#a
## NbInPO (PBE)

Data for NbInPO after structural relaxation. Values from VASP.

Cell and atoms, written as Quantum ESPRESSO input:
```
&SYSTEM
  ibrav = 0, nat = 8, ntyp = 4
/
ATOMIC_SPECIES
O 16.00 O.upf
P 30.97 P.upf
Nb 92.91 Nb.upf
In 114.82 In.upf
ATOMIC_POSITIONS crystal
O 0.500 0.000 0.000
O 0.000 0.500 0.000
P 0.500 0.500 0.306
P 0.000 0.000 0.694
Nb 0.500 0.000 0.500
Nb 0.000 0.500 0.500
In 0.000 0.000 0.125
In 0.500 0.500 0.875
CELL_PARAMETERS angstrom
4.063 0.000 0.000
0.000 4.063 0.000
0.000 0.000 7.816
```



#b
## NbInPO (PBE)

Data for NbInPO after structural relaxation. Values from VASP.

Cell and atoms, written as Quantum ESPRESSO input:
```
&SYSTEM
  ibrav = 0, nat = 8, ntyp = 4
/
ATOMIC_SPECIES
Nb 92.91 Nb.upf
P 30.97 P.upf
In 114.82 In.upf
O 16.00 O.upf
ATOMIC_POSITIONS crystal
Nb 0.000 0.124 0.427
Nb 0.000 0.876 0.927
P 0.000 0.819 0.425
P 0.000 0.181 0.925
In 0.500 0.406 0.974
In 0.500 0.594 0.474
O 0.500 0.827 0.928
O 0.500 0.173 0.428
CELL_PARAMETERS angstrom
3.853 0.000 0.000
0.000 8.057 0.000
0.000 0.000 5.059
```



#c
## NbInPO (PBE)

Data for NbInPO after structural relaxation. Values from VASP.

Cell and atoms, written as Quantum ESPRESSO input:
```
&SYSTEM
  ibrav = 0, nat = 8, ntyp = 4
/
ATOMIC_SPECIES
In 114.82 In.upf
P 30.97 P.upf
Nb 92.91 Nb.upf
O 16.00 O.upf
ATOMIC_POSITIONS crystal
In 0.000 0.203 0.565
In 0.000 0.797 0.065
P 0.000 0.839 0.433
P 0.000 0.161 0.933
Nb 0.500 0.416 0.996
Nb 0.500 0.584 0.496
O 0.500 0.561 0.760
O 0.500 0.439 0.260
CELL_PARAMETERS angstrom
3.447 0.000 0.000
0.000 6.625 0.000
0.000 0.000 7.317
```



#d
## NbInPO (PBE)

Data for NbInPO after structural relaxation. Values from VASP.

Cell and atoms, written as Quantum ESPRESSO input:
```
&SYSTEM
  ibrav = 0, nat = 8, ntyp = 4
/
ATOMIC_SPECIES
P 30.97 P.upf
In 114.82 In.upf
Nb 92.91 Nb.upf
O 16.00 O.upf
ATOMIC_POSITIONS crystal
P 0.500 0.000 0.240
P 0.000 0.500 0.760
In 0.500 0.500 0.500
In 0.000 0.000 0.500
Nb 0.500 0.000 0.879
Nb 0.000 0.500 0.121
O 0.000 0.000 0.000
O 0.500 0.500 0.000
CELL_PARAMETERS angstrom
-1.796 0.123 -3.202
-2.508 -2.338 1.317
-5.395 7.654 3.319
```



Most stable of them? #b.